#i
Entry from the Alexandria database: an optimized crystal structure of NaAgIN2 (PBE-GGA).

Values from the calculation:
spin magnetization: 4.0 μB/cell

Cell and atoms, written as CIF:
```
data_NaAgIN2
_chemical_formula_sum 'Na1 Ag1 I1 N2'
_space_group_name_H-M_alt 'P 4/m m m'
_space_group_IT_number 123
_space_group_name_Hall '-P 4 2'
_cell_length_a 4.278
_cell_length_b 4.278
_cell_length_c 6.934
_cell_angle_alpha 90.00
_cell_angle_beta 90.00
_cell_angle_gamma 90.00
loop_
_atom_site_label
_atom_site_type_symbol
_atom_site_fract_x
_atom_site_fract_y
_atom_site_fract_z
Na1 Na 0.000 0.000 0.000
Ag1 Ag 0.500 0.500 0.500
I1 I 0.500 0.500 0.000
N1 N 0.000 0.500 0.500
```


#ii
Entry from the Alexandria database: an optimized crystal structure of NaAgIN2 (PBE-GGA).

Values from the calculation:
spin magnetization: 5.0 μB/cell

Cell and atoms, written as CIF:
```
data_NaAgIN2
_chemical_formula_sum 'Na1 Ag1 I1 N2'
_space_group_name_H-M_alt 'P 4/m m m'
_space_group_IT_number 123
_space_group_name_Hall '-P 4 2'
_cell_length_a 4.535
_cell_length_b 4.535
_cell_length_c 6.570
_cell_angle_alpha 90.00
_cell_angle_beta 90.00
_cell_angle_gamma 90.00
loop_
_atom_site_label
_atom_site_type_symbol
_atom_site_fract_x
_atom_site_fract_y
_atom_site_fract_z
Na1 Na 0.000 0.000 0.000
Ag1 Ag 0.500 0.500 0.500
I1 I 0.000 0.000 0.500
N1 N 0.000 0.500 0.000
```


Which one sits at the top of the stability order? #i does.


#i
Entry from the Alexandria database: an optimized crystal structure of AgPIN2 (PBE-GGA).

Values from the calculation:
spin magnetization: 0.6 μB/cell

Cell and atoms, written as CIF:
```
data_AgPIN2
_chemical_formula_sum 'Ag1 P1 I1 N2'
_space_group_name_H-M_alt 'P 4/m m m'
_space_group_IT_number 123
_space_group_name_Hall '-P 4 2'
_cell_length_a 3.678
_cell_length_b 3.678
_cell_length_c 7.348
_cell_angle_alpha 90.00
_cell_angle_beta 90.00
_cell_angle_gamma 90.00
loop_
_atom_site_label
_atom_site_type_symbol
_atom_site_fract_x
_atom_site_fract_y
_atom_site_fract_z
Ag1 Ag 0.000 0.000 0.000
P1 P 0.500 0.500 0.500
I1 I 0.500 0.500 0.000
N1 N 0.000 0.500 0.500
```


#ii
Entry from the Alexandria database: an optimized crystal structure of AgPIN2 (PBE-GGA).

Values from the calculation:
spin magnetization: 3.9 μB/cell

Cell and atoms, written as CIF:
```
data_AgPIN2
_chemical_formula_sum 'Ag1 P1 I1 N2'
_space_group_name_H-M_alt 'P 4/m m m'
_space_group_IT_number 123
_space_group_name_Hall '-P 4 2'
_cell_length_a 4.036
_cell_length_b 4.036
_cell_length_c 7.922
_cell_angle_alpha 90.00
_cell_angle_beta 90.00
_cell_angle_gamma 90.00
loop_
_atom_site_label
_atom_site_type_symbol
_atom_site_fract_x
_atom_site_fract_y
_atom_site_fract_z
Ag1 Ag 0.000 0.000 0.000
P1 P 0.500 0.500 0.500
I1 I 0.000 0.000 0.500
N1 N 0.000 0.500 0.000
```


Which one sits at the top of the stability order? #i does.


#i
Entry from the Alexandria database: an optimized crystal structure of AgPbIN2 (PBE-GGA).

Values from the calculation:
spin magnetization: 2.9 μB/cell

Cell and atoms, written as CIF:
```
data_AgPbIN2
_chemical_formula_sum 'Ag1 Pb1 I1 N2'
_space_group_name_H-M_alt 'P 4/m m m'
_space_group_IT_number 123
_space_group_name_Hall '-P 4 2'
_cell_length_a 4.407
_cell_length_b 4.407
_cell_length_c 6.457
_cell_angle_alpha 90.00
_cell_angle_beta 90.00
_cell_angle_gamma 90.00
loop_
_atom_site_label
_atom_site_type_symbol
_atom_site_fract_x
_atom_site_fract_y
_atom_site_fract_z
Ag1 Ag 0.000 0.000 0.000
Pb1 Pb 0.500 0.500 0.500
I1 I 0.000 0.000 0.500
N1 N 0.000 0.500 0.000
```


#ii
Entry from the Alexandria database: an optimized crystal structure of AgPbIN2 (PBE-GGA).

Values from the calculation:
spin magnetization: 2.4 μB/cell

Cell and atoms, written as CIF:
```
data_AgPbIN2
_chemical_formula_sum 'Ag1 Pb1 I1 N2'
_space_group_name_H-M_alt 'P 4/m m m'
_space_group_IT_number 123
_space_group_name_Hall '-P 4 2'
_cell_length_a 4.488
_cell_length_b 4.488
_cell_length_c 7.104
_cell_angle_alpha 90.00
_cell_angle_beta 90.00
_cell_angle_gamma 90.00
loop_
_atom_site_label
_atom_site_type_symbol
_atom_site_fract_x
_atom_site_fract_y
_atom_site_fract_z
Ag1 Ag 0.000 0.000 0.000
Pb1 Pb 0.500 0.500 0.500
I1 I 0.500 0.500 0.000
N1 N 0.000 0.500 0.500
```


Which one sits at the top of the stability order? #ii does.


#i
Entry from the Alexandria database: an optimized crystal structure of AgPdIN2 (PBE-GGA).

Values from the calculation:
spin magnetization: 3.8 μB/cell

Cell and atoms, written as CIF:
```
data_AgPdIN2
_chemical_formula_sum 'Ag1 Pd1 I1 N2'
_space_group_name_H-M_alt 'P 4/m m m'
_space_group_IT_number 123
_space_group_name_Hall '-P 4 2'
_cell_length_a 4.038
_cell_length_b 4.038
_cell_length_c 7.185
_cell_angle_alpha 90.00
_cell_angle_beta 90.00
_cell_angle_gamma 90.00
loop_
_atom_site_label
_atom_site_type_symbol
_atom_site_fract_x
_atom_site_fract_y
_atom_site_fract_z
Ag1 Ag 0.000 0.000 0.000
Pd1 Pd 0.500 0.500 0.500
I1 I 0.000 0.000 0.500
N1 N 0.000 0.500 0.000
```


#ii
Entry from the Alexandria database: an optimized crystal structure of AgPdIN2 (PBE-GGA).

Values from the calculation:
spin magnetization: 0.0 μB/cell

Cell and atoms, written as CIF:
```
data_AgPdIN2
_chemical_formula_sum 'Ag1 Pd1 I1 N2'
_space_group_name_H-M_alt 'P 4/m m m'
_space_group_IT_number 123
_space_group_name_Hall '-P 4 2'
_cell_length_a 3.899
_cell_length_b 3.899
_cell_length_c 8.237
_cell_angle_alpha 90.00
_cell_angle_beta 90.00
_cell_angle_gamma 90.00
loop_
_atom_site_label
_atom_site_type_symbol
_atom_site_fract_x
_atom_site_fract_y
_atom_site_fract_z
Ag1 Ag 0.000 0.000 0.000
Pd1 Pd 0.500 0.500 0.500
I1 I 0.500 0.500 0.000
N1 N 0.000 0.500 0.500
```


Which one sits at the top of the stability order? #ii does.